# 1
Y3C5 | the Alexandria database | SCAN | PBEsol geometry; V = 116.24 Å³/cell; calculated formation energy = -353.0 meV per atom; space-group type = No. 123
1.0
3.471 0.000 0.000
0.000 3.471 0.000
0.000 0.000 9.646
Y C
3 5
Direct
0.000 0.000 0.000
0.500 0.500 0.304
0.500 0.500 0.696
0.000 0.000 0.360
0.000 0.000 0.500
0.000 0.000 0.640
0.500 0.500 0.071
0.500 0.500 0.929

# 2
MnAu2Br | the Alexandria database | SCAN | PBEsol geometry; distance to the lowest polymorph of the same formula = 0 meV/atom; E_form (uncorrected) = -15.9 kJ/mol of atoms; V = 75.52 Å³/cell; space-group type = No. 99
1.0
3.227 0.000 0.000
0.000 3.227 0.000
0.000 0.000 7.251
Mn Au Br
1 2 1
Direct
0.000 0.000 0.000
0.000 0.000 0.427
0.500 0.500 0.207
0.500 0.500 0.772

# 3
PdRhIN2 | the Alexandria database | SCAN | PBEsol geometry; E_form (uncorrected) = 158.0 kJ/mol of atoms; V = 98.98 Å³/cell; space-group type = No. 123
1.0
3.719 0.000 0.000
0.000 3.719 0.000
0.000 0.000 7.155
Pd Rh I N
1 1 1 2
Direct
0.000 0.000 0.000
0.500 0.500 0.500
0.000 0.000 0.500
0.000 0.500 0.000
0.500 0.000 0.000

# 4
Ba2HgAu | the Alexandria database | SCAN | PBEsol geometry; V = 162.03 Å³/cell; calculated formation energy = -620.8 meV per atom; space-group type = No. 160
1.0
2.437 1.407 7.873
-2.437 1.407 7.873
0.000 -2.814 7.873
Ba Hg Au
2 1 1
Direct
0.000 0.000 0.000
0.169 0.169 0.169
0.418 0.418 0.418
0.751 0.751 0.751

# 5
TaNiOs2 | the Alexandria database | SCAN | PBEsol geometry; V = 55.56 Å³/cell; calculated formation energy = -275.3 meV per atom; space-group type = No. 123
1.0
3.830 0.000 0.000
0.000 3.830 0.000
0.000 0.000 3.787
Ta Ni Os
1 1 2
Direct
0.000 0.000 0.000
0.500 0.500 0.000
0.000 0.500 0.500
0.500 0.000 0.500

# 6
Sr4CdP | the Alexandria database | SCAN | PBEsol geometry; V = 217.34 Å³/cell; calculated formation energy = 517.7 meV per atom; space-group type = No. 216
1.0
0.000 4.772 4.772
4.772 0.000 4.772
4.772 4.772 0.000
Sr Cd P
4 1 1
Direct
0.376 0.376 0.376
0.376 0.376 0.872
0.376 0.872 0.376
0.872 0.376 0.376
0.000 0.000 0.000
0.750 0.750 0.750

# 7
YMgZn2 | the Alexandria database | SCAN | PBEsol geometry; V = 79.12 Å³/cell; calculated formation energy = -168.0 meV per atom; space-group type = No. 99
1.0
3.259 0.000 0.000
0.000 3.259 0.000
0.000 0.000 7.451
Y Mg Zn
1 1 2
Direct
0.000 0.000 0.000
0.500 0.500 0.670
0.000 0.000 0.440
0.500 0.500 0.262

# 8
Ba2FeMo | the Alexandria database | SCAN | PBEsol geometry; V = 100.41 Å³/cell; calculated formation energy = 1491.9 meV per atom; space-group type = No. 12
1.0
5.059 -1.537 0.000
5.059 1.537 0.000
-0.305 0.000 6.457
Ba Fe Mo
2 1 1
Direct
0.249 0.249 0.245
0.751 0.751 0.755
0.500 0.500 0.000
0.000 0.000 0.500

# 9
PRuCl3 | the Alexandria database | SCAN | PBEsol geometry; distance to the lowest polymorph of the same formula = 273 meV/atom; E_form (uncorrected) = 61.9 kJ/mol of atoms; V = 107.29 Å³/cell; space-group type = No. 221
1.0
4.752 0.000 0.000
0.000 4.752 0.000
0.000 0.000 4.752
P Ru Cl
1 1 3
Direct
0.000 0.000 0.000
0.500 0.500 0.500
0.000 0.000 0.500
0.000 0.500 0.000
0.500 0.000 0.000

# 10
Mg2Bi2Pd | the Alexandria database | SCAN | PBEsol geometry; V = 121.73 Å³/cell; calculated formation energy = 211.8 meV per atom; space-group type = No. 139
1.0
-1.901 1.901 8.426
1.901 -1.901 8.426
1.901 1.901 -8.426
Mg Bi Pd
2 2 1
Direct
0.250 0.750 0.500
0.750 0.250 0.500
0.093 0.093 0.000
0.907 0.907 0.000
0.500 0.500 0.000

# 11
ThBe13 | the Alexandria database | SCAN | PBEsol geometry; V = 272.96 Å³/cell; calculated formation energy = -138.7 meV per atom; space-group type = No. 226
1.0
0.000 5.149 5.149
5.149 0.000 5.149
5.149 5.149 0.000
Th Be
2 26
Direct
0.250 0.250 0.250
0.750 0.750 0.750
0.000 0.000 0.000
0.062 0.289 0.711
0.062 0.711 0.938
0.062 0.938 0.289
0.211 0.438 0.789
0.211 0.562 0.438
0.211 0.789 0.562
0.289 0.062 0.938
0.289 0.711 0.062
0.289 0.938 0.711
0.438 0.211 0.562
0.438 0.562 0.789
0.438 0.789 0.211
0.500 0.500 0.500
0.562 0.211 0.789
0.562 0.438 0.211
0.562 0.789 0.438
0.711 0.062 0.289
0.711 0.289 0.938
0.711 0.938 0.062
0.789 0.211 0.438
0.789 0.438 0.562
0.789 0.562 0.211
0.938 0.062 0.711
0.938 0.289 0.062
0.938 0.711 0.289

# 12
Ag2IrSe | the Alexandria database | SCAN | PBEsol geometry; E_form (uncorrected) = 44.5 kJ/mol of atoms; V = 64.72 Å³/cell; space-group type = No. 71
1.0
-1.510 2.257 4.748
1.510 -2.257 4.748
1.510 2.257 -4.748
Ag Ir Se
2 1 1
Direct
0.246 0.246 0.000
0.754 0.754 0.000
0.500 0.000 0.500
0.000 0.500 0.500